[1]
Hf2Zr4Cd3C3 | GGA-PBE | optimized geometry

Lattice parameters (Å, degrees): 5.756 5.756 15.639 100.67 100.67 60.02
Fractional positions:
C: 0.664 0.171 0.000
C: 0.000 0.500 0.000
C: 0.336 0.829 0.000
C: 0.171 0.664 0.500
C: 0.500 0.000 0.500
C: 0.829 0.336 0.500
Cd: 0.418 0.260 0.250
Cd: 0.095 0.905 0.250
Cd: 0.740 0.583 0.250
Cd: 0.260 0.417 0.750
Cd: 0.905 0.095 0.750
Cd: 0.582 0.740 0.750
Hf: 0.358 0.527 0.079
Hf: 0.473 0.642 0.421
Hf: 0.527 0.358 0.579
Hf: 0.642 0.473 0.921
Zr: 0.030 0.193 0.083
Zr: 0.695 0.863 0.083
Zr: 0.137 0.305 0.417
Zr: 0.807 0.970 0.417
Zr: 0.193 0.030 0.583
Zr: 0.863 0.695 0.583
Zr: 0.305 0.137 0.917
Zr: 0.970 0.807 0.917

Total DFT energy (no corrections)   -7.5842 eV/atom

=====

[2]
Cd4HgSbC2 | GGA-PBE | optimized geometry

Lattice parameters (Å, degrees): 3.535 3.535 14.851 90.00 90.00 120.00
Fractional positions:
C: 0.333 0.667 0.242
C: 0.333 0.667 0.758
Cd: 0.667 0.333 0.165
Cd: 0.000 0.000 0.332
Cd: 0.000 0.000 0.668
Cd: 0.667 0.333 0.835
Hg: 0.000 0.000 0.000
Sb: 0.667 0.333 0.500

Total DFT energy (no corrections)   -2.3783 eV/atom

=====

[3]
Sc4CdHgC2 | GGA-PBE | optimized geometry

Lattice parameters (Å, degrees): 3.334 3.334 15.333 90.00 90.00 120.00
Last column: magnetic moment on the atom in μB.
Fractional positions:
C: 0.667 0.333 0.246  -0.01
C: 0.667 0.333 0.754  -0.01
Cd: 0.000 0.000 0.500  0.00
Hg: 0.333 0.667 0.000  0.04
Sc: 0.000 0.000 0.166  0.09
Sc: 0.333 0.667 0.325  0.01
Sc: 0.333 0.667 0.675  0.01
Sc: 0.000 0.000 0.834  0.10

Total DFT energy (no corrections)   -6.0850 eV/atom

=====

[4]
Tm4CdHgC2 | GGA-PBE | optimized geometry

Lattice parameters (Å, degrees): 3.525 3.525 15.939 90.00 90.00 120.00
Last column: magnetic moment on the atom in μB.
Fractional positions:
C: 0.667 0.333 0.246  -0.01
C: 0.667 0.333 0.754  -0.01
Cd: 0.000 0.000 0.500  0.03
Hg: 0.333 0.667 0.000  0.03
Tm: 0.000 0.000 0.161  0.16
Tm: 0.333 0.667 0.328  0.14
Tm: 0.333 0.667 0.672  0.16
Tm: 0.000 0.000 0.839  0.17

Total DFT energy (no corrections)   -5.0697 eV/atom

=====

[5]
Ho3CdC | GGA-PBE | optimized geometry

Lattice parameters (Å, degrees): 4.896 4.896 4.896 90.00 90.00 90.00
Last column: magnetic moment on the atom in μB.
Fractional positions:
C: 0.000 0.000 0.000  -0.02
Cd: 0.500 0.500 0.500  0.07
Ho: 0.500 0.000 0.000  0.21
Ho: 0.000 0.500 0.000  0.21
Ho: 0.000 0.000 0.500  0.13

Total DFT energy (no corrections)   -5.0952 eV/atom

=====

[6]
Lu4CdInC2 | GGA-PBE | optimized geometry

Lattice parameters (Å, degrees): 3.508 3.508 15.927 90.00 90.00 120.00
Last column: magnetic moment on the atom in μB.
Fractional positions:
C: 0.000 0.000 0.249  0.00
C: 0.000 0.000 0.751  0.00
Cd: 0.333 0.667 0.000  0.05
In: 0.667 0.333 0.500  0.00
Lu: 0.667 0.333 0.168  0.15
Lu: 0.333 0.667 0.332  0.04
Lu: 0.333 0.667 0.668  0.03
Lu: 0.667 0.333 0.832  0.15

Total DFT energy (no corrections)   -5.4390 eV/atom

=====

[7]
Nb4CdInC2 | GGA-PBE | optimized geometry

Lattice parameters (Å, degrees): 3.199 3.199 14.520 90.00 90.00 120.00
Fractional positions:
C: 0.000 0.000 0.251
C: 0.000 0.000 0.749
Cd: 0.333 0.667 0.500
In: 0.667 0.333 0.000
Nb: 0.333 0.667 0.168
Nb: 0.667 0.333 0.331
Nb: 0.667 0.333 0.669
Nb: 0.333 0.667 0.832

Total DFT energy (no corrections)   -8.1793 eV/atom

=====

[8]
Cd4InC2S | GGA-PBE | optimized geometry

Lattice parameters (Å, degrees): 3.665 3.665 13.130 90.00 90.00 120.00
Fractional positions:
C: 0.333 0.667 0.258
C: 0.333 0.667 0.742
Cd: 0.667 0.333 0.185
Cd: 0.000 0.000 0.369
Cd: 0.000 0.000 0.631
Cd: 0.667 0.333 0.815
In: 0.000 0.000 0.000
S: 0.667 0.333 0.500

Total DFT energy (no corrections)   -2.7369 eV/atom

=====

Number 7 is which compound? Nb4CdInC2